TaHPb2: single point on PBEsol structure, meta-GGA SCAN.

Results
Its density is 12.27 g/cm³. The value obtained for the total energy is -54.246 eV per atom.

Cell: 6.861 6.861 6.861 Å, 90.00 90.00 90.00°
Space group Fm-3m (No. 225)
Unique sites:
Ta 0.000 0.000 0.000 x4
H 0.000 0.000 0.500 x4
Pb 0.250 0.250 0.250 x8